# CaNiAsHO5 (GGA+U, relaxed)
data_CaNiAsHO5
_chemical_formula_sum 'Ca4 Ni4 As4 H4 O20'
_space_group_name_H-M_alt 'P 21 21 21'
_space_group_IT_number 19
_cell_length_a 5.9985
_cell_length_b 7.5214
_cell_length_c 9.0161
_cell_angle_alpha 90.00
_cell_angle_beta 90.00
_cell_angle_gamma 90.00
loop_
_space_group_symop_operation_xyz
'x,y,z'
'-x+1/2,-y,z+1/2'
'x+1/2,-y+1/2,-z'
'-x,y+1/2,-z+1/2'
loop_
_atom_site_label
_atom_site_type_symbol
_atom_site_fract_x
_atom_site_fract_y
_atom_site_fract_z
Ca1 Ca 0.0247 0.1294 0.1721
Ni1 Ni 0.2445 0.2576 0.5037
As1 As 0.0165 0.6194 0.6804
H1 H 0.0135 0.9900 0.4793
O1 O 0.0028 0.1042 0.4256
O2 O 0.0096 0.9387 0.9399
O3 O 0.0879 0.7884 0.5608
O4 O 0.2331 0.1471 0.7263
O5 O 0.2458 0.6058 0.7964
# **Total magnetic moment**: 8.0 Bohr magnetons per cell
# **Total energy**: -211.6 eV/cell